No. 1
Density functional theory data (GGA-PBE) for TlAgH6Pt after structural relaxation.

```
9
Lattice="5.0295 0.0000 0.0000 -2.5147 4.3556 0.0000 0.0000 0.0000 5.2389" Properties=species:S:1:pos:R:3 pbc="T T T"
Tl 0.0000 0.0000 0.0000
Ag 0.0000 2.9038 2.6194
H 1.8663 0.2630 3.6022
H 1.1610 1.4848 1.6367
H 3.1631 0.2630 1.6367
H 1.8094 2.6078 3.6022
H 3.8685 1.4848 3.6022
H 3.2201 2.6078 1.6367
Pt 2.5147 1.4519 2.6194
```

Values from the calculation:
VASP energy = -3.476 eV/atom
SG = P312

No. 2
Density functional theory data (GGA-PBE) for LiTbBi2 after structural relaxation.

```
8
Lattice="4.5089 0.0000 0.0000 0.0000 4.5089 0.0000 0.0000 0.0000 10.4406" Properties=species:S:1:pos:R:3 pbc="T T T"
Li 1.1272 3.3817 0.0000
Li 3.3817 1.1272 0.0000
Tb 1.1272 1.1272 2.7118
Tb 3.3817 3.3817 7.7288
Bi 1.1272 1.1272 8.6689
Bi 1.1272 3.3817 5.2203
Bi 3.3817 1.1272 5.2203
Bi 3.3817 3.3817 1.7717
```

Values from the calculation:
Fermi-level density of states = 2.17 states/eV/cell
ΔE_f = -0.62 eV per atom
SG = P4/nmm

No. 3
Density functional theory data (GGA-PBE) for HfZnAu3 after structural relaxation.

```
10
Lattice="4.9439 0.0000 0.0000 0.0000 5.8645 0.0000 -1.6749 0.0000 6.3206" Properties=species:S:1:pos:R:3 pbc="T T T"
Hf 0.4424 1.4661 1.3737
Hf 2.8266 4.3984 4.9469
Zn -0.0697 4.3984 1.6279
Zn 3.3387 1.4661 4.6927
Au 0.4289 2.9623 3.8859
Au 0.4289 5.8345 3.8859
Au 1.9805 4.3984 0.0759
Au 1.2885 1.4661 6.2447
Au 2.8401 0.0300 2.4347
Au 2.8401 2.9023 2.4347
```

Values from the calculation:
Fermi-level density of states = 4.45 states/eV/cell
ΔE_f = -0.27 eV per atom
SG = P2_1/m

No. 4
Density functional theory data (GGA-PBE) for Li2CoAs after structural relaxation.

```
4
Lattice="2.3569 -4.0889 0.0000 2.3569 4.0889 0.0000 0.0000 0.0000 2.8157" Properties=species:S:1:pos:R:3 pbc="T T T"
Li 1.1784 2.0445 0.0000
Li 1.1784 -2.0445 0.0000
Co 0.0000 0.0000 1.4078
As 2.3569 0.0000 1.4078
```

Values from the calculation:
Fermi-level density of states = 2.48 states/eV/cell
ΔE_f = -0.11 eV per atom
SG = Cmmm

No. 5
Density functional theory data (GGA-PBE) for Re3HW after structural relaxation.

```
5
Lattice="3.9843 0.0000 0.0000 0.0000 3.9843 0.0000 0.0000 0.0000 3.9843" Properties=species:S:1:pos:R:3 pbc="T T T"
Re 0.0000 0.0000 1.9921
Re 0.0000 1.9921 0.0000
Re 1.9921 0.0000 0.0000
H 0.0000 0.0000 0.0000
W 1.9921 1.9921 1.9921
```

Values from the calculation:
Fermi-level density of states = 4.26 states/eV/cell
VASP energy = -10.565 eV/atom
SG = Pm-3m

No. 6
Density functional theory data (GGA-PBE) for KPuSb2Pt2 after structural relaxation.

```
6
Lattice="4.4367 0.0000 0.0000 -2.2184 3.8423 0.0000 0.0000 0.0000 9.7041" Properties=species:S:1:pos:R:3 pbc="T T T"
K 0.0000 0.0000 0.0000
Pu 0.0000 0.0000 4.8521
Sb 0.0000 2.5615 7.1802
Sb 2.2184 1.2808 2.5239
Pt 0.0000 2.5615 3.1836
Pt 2.2184 1.2808 6.5205
```

Values from the calculation:
Fermi-level density of states = 13.64 states/eV/cell
Raw formation energy = -637 meV per atom
SG = P-3m1

No. 7
Density functional theory data (GGA-PBE) for YAlTc2 after structural relaxation.

```
4
Lattice="3.1775 0.0000 0.0000 0.0000 4.3522 0.0000 -1.3797 0.0000 5.3300" Properties=species:S:1:pos:R:3 pbc="T T T"
Y 0.0000 0.0000 0.0000
Al 1.6866 2.1761 1.5050
Tc 0.0620 2.1761 3.6783
Tc 0.8530 0.0000 2.7768
```

Values from the calculation:
Fermi-level density of states = 2.82 states/eV/cell
ΔE_f = -0.02 eV per atom
SG = Pm

No. 8
Density functional theory data (GGA-PBE) for U2Al8Cu after structural relaxation.

```
11
Lattice="4.2638 0.0000 0.0000 0.0000 4.2638 0.0000 0.0000 0.0000 11.1483" Properties=species:S:1:pos:R:3 pbc="T T T"
U 0.0000 0.0000 2.1079
U 0.0000 0.0000 9.0404
Al 0.0000 2.1319 0.0000
Al 0.0000 2.1319 4.1775
Al 0.0000 2.1319 6.9708
Al 2.1319 0.0000 0.0000
Al 2.1319 0.0000 4.1775
Al 2.1319 0.0000 6.9708
Al 2.1319 2.1319 2.1442
Al 2.1319 2.1319 9.0041
Cu 0.0000 0.0000 5.5742
```

Values from the calculation:
Fermi-level density of states = 12.81 states/eV/cell
ΔE_f = -0.14 eV per atom
SG = P4/mmm

No. 9
Density functional theory data (GGA-PBE) for Zr2GaAg after structural relaxation.

```
4
Lattice="4.3927 0.0000 0.0000 0.0000 4.3927 0.0000 0.0000 0.0000 4.0677" Properties=species:S:1:pos:R:3 pbc="T T T"
Zr 0.0000 2.1963 0.0000
Zr 2.1963 0.0000 0.0000
Ga 0.0000 0.0000 2.0338
Ag 2.1963 2.1963 2.0338
```

Values from the calculation:
Fermi-level density of states = 5.07 states/eV/cell
ΔE_f = -0.27 eV per atom
SG = P4/mmm

No. 10
Density functional theory data (GGA-PBE) for PuFe4Re after structural relaxation.

```
6
Lattice="0.0000 3.4467 3.4467 3.4467 0.0000 3.4467 3.4467 3.4467 0.0000" Properties=species:S:1:pos:R:3 pbc="T T T"
Pu 0.0000 0.0000 0.0000
Fe 4.2978 2.5955 2.5955
Fe 2.5955 4.2978 2.5955
Fe 2.5955 2.5955 4.2978
Fe 4.2978 4.2978 4.2978
Re 1.7233 1.7233 1.7233
```

Values from the calculation:
Fermi-level density of states = 15.06 states/eV/cell
ΔE_f = 0.16 eV per atom
SG = F-43m

No. 11
Density functional theory data (GGA-PBE) for Tb5Pm2DyEr after structural relaxation.

```
18
Lattice="-4.2976 4.2976 7.9269 4.2976 -4.2976 7.9269 4.2976 4.2976 -7.9269" Properties=species:S:1:pos:R:3 pbc="T T T"
Tb 0.0000 0.0000 0.0000
Tb 6.1273 1.8296 -2.2288
Tb 1.8296 2.4680 -2.2288
Tb 6.1273 1.8296 2.2288
Tb 1.8296 2.4680 2.2288
Tb 0.0000 0.0000 7.9269
Tb 2.4680 1.8296 5.6981
Tb -1.8296 2.4680 5.6981
Tb 2.4680 1.8296 10.1557
Tb -1.8296 2.4680 10.1557
Pm 3.2810 1.0167 0.0000
Pm 3.2810 -1.0167 7.9269
Pm 1.0167 5.3143 0.0000
Pm 1.0167 3.2810 7.9269
Dy 0.0000 0.0000 3.9635
Dy 0.0000 0.0000 11.8904
Er 4.2976 0.0000 3.9635
Er 0.0000 4.2976 3.9635
```

Values from the calculation:
Fermi-level density of states = 24.84 states/eV/cell
ΔE_f = 0.28 eV per atom
SG = I4/mcm

No. 12
Density functional theory data (GGA-PBE) for NbBSe2N after structural relaxation.

```
5
Lattice="5.4170 0.0000 0.0000 0.0000 5.4170 0.0000 0.0000 0.0000 2.6919" Properties=species:S:1:pos:R:3 pbc="T T T"
Nb 0.0000 0.0000 0.0000
B 2.7085 2.7085 1.3459
Se 0.0000 2.7085 1.3459
Se 2.7085 0.0000 1.3459
N 2.7085 2.7085 0.0000
```

Values from the calculation:
Fermi-level density of states = 2.32 states/eV/cell
Raw formation energy = 229 meV per atom
SG = P4/mmm

| no. | calculated density (Mg/m³) |
| --- | --- |
| 1 | 7.428 |
| 2 | 9.135 |
| 3 | 15.128 |
| 4 | 4.520 |
| 5 | 19.519 |
| 6 | 9.203 |
| 7 | 7.026 |
| 8 | 6.189 |
| 9 | 7.617 |
| 10 | 13.253 |
| 11 | 8.021 |
| 12 | 5.795 |